First-principles (GGA-PBE) data for a geometry-optimized TbPr3Y3S8 structure, as listed in the Alexandria database.

Cell lengths 7.951, 7.951, 8.050 Å; angles 119.59, 90.00, 120.00 degrees
Fractional coordinates of all 15 atoms:
S (0.744, 0.489, 0.733)
S (0.258, 0.011, 0.264)
S (0.753, 0.507, 0.264)
S (0.256, 0.511, 0.267)
S (0.753, 0.011, 0.264)
S (0.247, 0.989, 0.736)
S (0.742, 0.989, 0.736)
S (0.247, 0.493, 0.736)
Y (0.500, 0.500, 0.500)
Y (0.000, 0.500, 0.500)
Y (0.500, 0.000, 0.500)
Pr (0.500, 0.500, 0.000)
Pr (0.000, 0.000, 0.000)
Pr (0.000, 0.500, 0.000)
Tb (0.000, 0.000, 0.500)

Space-group type: R-3m, No. 166
Electronic total energy: -102.15 eV for the cell shown
Spin magnetization: 0.00 μB per cell
Crystal system: trigonal